[1]
Crystalline KAl2Te at its relaxed geometry. Source: Alexandria via LeMat-Bulk, functional GGA-PBE.

Results
**Uncorrected energy**: -11.7 eV/f.u.
**Density**: 2.82 Mg/m³
**E_form (uncorrected)**: 0.018 eV/atom
**Spin magnetization**: 0.00 μB/cell
**D(E_F)**: 2.12 states/eV per cell

```
data_KAl2Te
_space_group_name_H-M_alt 'P 1'
_space_group_IT_number 1
_cell_length_a 7.344
_cell_length_b 7.344
_cell_length_c 7.344
_cell_angle_alpha 144.98
_cell_angle_beta 144.89
_cell_angle_gamma 50.43
loop_
_space_group_symop_operation_xyz
'x,y,z'
loop_
_atom_site_label
_atom_site_type_symbol
_atom_site_fract_x
_atom_site_fract_y
_atom_site_fract_z
K1 K 0.000 0.000 0.000
Al1 Al 0.360 0.360 0.000
Al2 Al 0.739 0.239 0.500
Te1 Te 0.218 0.718 0.500
```


[2]
Crystalline K2ThAlTe5 at its relaxed geometry. Source: Alexandria via LeMat-Bulk, functional GGA-PBE.

Results
**Uncorrected energy**: -36.9 eV/f.u.
**Density**: 4.48 Mg/m³
**E_form (uncorrected)**: -0.872 eV/atom
**Spin magnetization**: 0.00 μB/cell
**D(E_F)**: 8.26 states/eV per cell

```
data_K2ThAlTe5
_space_group_name_H-M_alt 'P 1'
_space_group_IT_number 1
_cell_length_a 11.188
_cell_length_b 11.188
_cell_length_c 15.540
_cell_angle_alpha 90.00
_cell_angle_beta 90.00
_cell_angle_gamma 158.18
loop_
_space_group_symop_operation_xyz
'x,y,z'
loop_
_atom_site_label
_atom_site_type_symbol
_atom_site_fract_x
_atom_site_fract_y
_atom_site_fract_z
K1 K 0.119 0.881 0.500
K2 K 0.133 0.867 0.863
K3 K 0.867 0.133 0.363
K4 K 0.881 0.119 0.000
Th1 Th 0.203 0.797 0.202
Th2 Th 0.797 0.203 0.702
Al1 Al 0.429 0.571 0.592
Al2 Al 0.571 0.429 0.092
Te1 Te 0.053 0.947 0.195
Te2 Te 0.304 0.696 0.844
Te3 Te 0.310 0.690 0.549
Te4 Te 0.342 0.658 0.179
Te5 Te 0.489 0.511 0.448
Te6 Te 0.511 0.489 0.948
Te7 Te 0.658 0.342 0.679
Te8 Te 0.690 0.310 0.049
Te9 Te 0.696 0.304 0.344
Te10 Te 0.947 0.053 0.695
```